1.
PBE TlOsPb2, relaxed; total DFT energy (no corrections) = -37.60 eV/cell; calculated volume = 26.01 Å³/atom; space-group type = Immm
1.0
3.2385 0.0000 0.0000
0.0000 4.6745 0.0000
0.0000 0.0000 13.7473
Tl Os Pb
2 2 4
direct
0.0000 0.0000 0.0000
0.5000 0.5000 0.5000
0.0000 0.0000 0.5000
0.5000 0.5000 0.0000
0.0000 0.5000 0.1768
0.0000 0.5000 0.8232
0.5000 0.0000 0.3232
0.5000 0.0000 0.6768

---

2.
PBE BeZn2Hg, relaxed; total DFT energy (no corrections) = -16.41 eV/cell; calculated volume = 16.25 Å³/atom; space-group type = R-3m
1.0
2.9631 0.0000 0.0000
-1.4815 2.5661 0.0000
0.0000 0.0000 25.6545
Be Zn Hg
3 6 3
direct
0.0000 0.0000 0.0000
0.3333 0.6667 0.6667
0.6667 0.3333 0.3333
0.0000 0.0000 0.2663
0.0000 0.0000 0.7337
0.3333 0.6667 0.4004
0.3333 0.6667 0.9329
0.6667 0.3333 0.0671
0.6667 0.3333 0.5996
0.0000 0.0000 0.5000
0.3333 0.6667 0.1667
0.6667 0.3333 0.8333